# Y3HoPd GGA-PBE relaxed
data_Y3HoPd
_chemical_formula_sum 'Y6 Ho2 Pd2'
_cell_length_a 7.202
_cell_length_b 7.202
_cell_length_c 7.938
_cell_angle_alpha 120.66
_cell_angle_beta 120.66
_cell_angle_gamma 72.95
_space_group_name_H-M_alt 'P 1'
_space_group_IT_number 1
loop_
_space_group_symop_operation_xyz
'x,y,z'
loop_
_atom_site_label
_atom_site_fract_x
_atom_site_fract_y
_atom_site_fract_z
Y1 0.039 0.039 0.312
Y2 0.089 0.486 0.256
Y3 0.486 0.089 0.256
Y4 0.514 0.911 0.744
Y5 0.911 0.514 0.744
Y6 0.961 0.961 0.688
Ho1 0.429 0.429 0.728
Ho2 0.571 0.571 0.272
Pd1 0.270 0.270 0.913
Pd2 0.730 0.730 0.087
# * space group: C2/m (12)
# * final energy: -61.0 eV per cell
# * ρ: 5.9 Mg/m³
# * formation energy: -1.35 eV/f.u.
# * polymorph energy (0 for the lowest one): 90 meV/atom
# * magnetization: 0.00 μB/atom

# YHoPd2 GGA-PBE relaxed
data_YHoPd2
_chemical_formula_sum 'Y1 Ho1 Pd2'
_cell_length_a 4.965
_cell_length_b 4.965
_cell_length_c 4.965
_cell_angle_alpha 60.00
_cell_angle_beta 60.00
_cell_angle_gamma 60.00
_space_group_name_H-M_alt 'P 1'
_space_group_IT_number 1
loop_
_space_group_symop_operation_xyz
'x,y,z'
loop_
_atom_site_label
_atom_site_fract_x
_atom_site_fract_y
_atom_site_fract_z
Y1 0.000 0.000 0.000
Ho1 0.500 0.500 0.500
Pd1 0.250 0.250 0.250
Pd2 0.750 0.750 0.750
# * space group: Fm-3m (225)
# * final energy: -25.0 eV per cell
# * ρ: 9.0 Mg/m³
# * formation energy: -3.56 eV/f.u.
# * polymorph energy (0 for the lowest one): 27 meV/atom
# * magnetization: 0.00 μB/atom

# YHo2Pd3 GGA-PBE relaxed
data_YHo2Pd3
_chemical_formula_sum 'Y1 Ho2 Pd3'
_cell_length_a 7.904
_cell_length_b 7.904
_cell_length_c 3.430
_cell_angle_alpha 90.00
_cell_angle_beta 90.00
_cell_angle_gamma 143.13
_space_group_name_H-M_alt 'P 1'
_space_group_IT_number 1
loop_
_space_group_symop_operation_xyz
'x,y,z'
loop_
_atom_site_label
_atom_site_fract_x
_atom_site_fract_y
_atom_site_fract_z
Y1 0.000 0.000 0.000
Ho1 0.334 0.666 0.000
Ho2 0.666 0.334 0.000
Pd1 0.169 0.831 0.500
Pd2 0.500 0.500 0.500
Pd3 0.831 0.169 0.500
# * space group: Cmmm (65)
# * final energy: -36.6 eV per cell
# * ρ: 9.5 Mg/m³
# * formation energy: -5.39 eV/f.u.
# * polymorph energy (0 for the lowest one): 0 meV/atom
# * magnetization: 0.00 μB/atom